## TiMo4F2 (PBE+U)

Data for a relaxed TiMo4F2 crystal.

Output
DOS(E_F), states/eV per cell: 3.48
Calculated density, g/cm³: 5.26
VASP energy, eV for the cell shown: -32.9
Total magnetic moment, Bohr magnetons per cell: 12.00

Cell lengths 4.8756, 4.8756, 7.1236 Å; angles 69.99, 69.99, 90.00 degrees
Closest atoms and distances in Å follow each position.
Element x y z (fractional)
Ti 0.0000 0.0000 0.0000  4 Mo 2.44
Mo 0.0000 0.5000 0.0000  2 Ti 2.44, 4 F 2.71
Mo 0.2307 0.2307 0.5387  1 F 2.18
Mo 0.5000 0.0000 0.0000  2 Ti 2.44, 4 F 2.71
Mo 0.7693 0.7693 0.4613  1 F 2.18
F 0.5948 0.5948 0.8104  1 Mo 2.18, 1 F 2.36
F 0.4052 0.4052 0.1896  1 Mo 2.18, 1 F 2.36